# 1
The following is a DFT calculation (PBE) of a relaxed structure of Pr2Ag3Hg4.

Calculated values
ΔH_f (0 K) (eV per atom): -0.290
Offset from the most stable computed form (eV per atom): 0.000
Space-group type: P-1 (2)
Magnetic moment (μB/f.u.): 0.00
E (eV/atom): -2.4365

Cell lengths 5.120, 5.127, 9.418 Å; angles 84.74, 84.62, 60.33 degrees
Element x y z (fractional)
1 Hg 0.038 0.034 0.650
2 Ag 0.296 0.299 0.420
3 Ag 0.000 0.000 0.000
4 Ag 0.704 0.701 0.580
5 Hg 0.677 0.676 0.900
6 Pr 0.357 0.355 0.764
7 Hg 0.323 0.324 0.100
8 Hg 0.962 0.966 0.350
9 Pr 0.643 0.645 0.236

=====

# 2
The following is a DFT calculation (PBE) of a relaxed structure of Tl2SiW.

Calculated values
Offset from the most stable computed form (eV per atom): 0.615
Space-group type: Immm (71)
Magnetic moment (μB/f.u.): 0.00
E (eV/atom): -4.7026

Cell lengths 5.514, 5.514, 5.514 Å; angles 141.56, 129.42, 65.28 degrees
Element x y z (fractional)
1 Tl 0.007 0.007 0.000
2 W 0.750 0.250 0.500
3 Tl 0.493 0.493 0.000
4 Si 0.250 0.750 0.500

=====

# 3
The following is a DFT calculation (PBE) of a relaxed structure of LiNp2USe5.

Calculated values
Space-group type: Cmc2_1 (36)
Magnetic moment (μB/f.u.): 6.39
E (eV/atom): -7.3730

Cell lengths 4.029, 8.807, 12.332 Å; angles 90.00, 90.00, 103.22 degrees
Element x y z (fractional)
1 Np 0.126 0.252 0.305
2 Se 0.496 0.993 0.774
3 Se 0.948 0.897 0.571
4 Se 0.285 0.570 0.671
5 U 0.203 0.407 0.009
6 Se 0.631 0.261 0.500
7 U 0.797 0.593 0.509
8 Se 0.685 0.370 0.848
9 Li 0.534 0.068 0.964
10 Np 0.105 0.211 0.683
11 Se 0.504 0.007 0.274
12 Se 0.369 0.739 0.000
13 Li 0.466 0.932 0.464
14 Np 0.874 0.748 0.805
15 Se 0.052 0.103 0.071
16 Np 0.895 0.789 0.183
17 Se 0.715 0.430 0.171
18 Se 0.315 0.630 0.348